Compound: BeZn2Cu5Si2
Source: the Alexandria database
Functional: PBE
Structure: relaxed

Calculated values
The uncorrected formation energy is 0.0713 eV per atom. Its crystal system is tetragonal. The calculation puts the calculated volume at 266.27 Å³ per cell. The symmetry is P4/mbm (127).

The structure in POSCAR format:
```
BeZn2Cu5Si2
1.0
10.1430 0.0000 0.0000
0.0000 10.1430 0.0000
0.0000 0.0000 2.5882
Be Zn Cu Si
2 4 10 4
Direct
0.0000 0.0000 0.0000
0.5000 0.5000 0.0000
0.1616 0.3384 0.0000
0.3384 0.8384 0.0000
0.6616 0.1616 0.0000
0.8384 0.6616 0.0000
0.0000 0.5000 0.5000
0.0989 0.8427 0.5000
0.1573 0.0989 0.5000
0.3427 0.5989 0.5000
0.4011 0.3427 0.5000
0.5000 0.0000 0.5000
0.5989 0.6573 0.5000
0.6573 0.4011 0.5000
0.8427 0.9011 0.5000
0.9011 0.1573 0.5000
0.1454 0.6454 0.0000
0.3546 0.1454 0.0000
0.6454 0.8546 0.0000
0.8546 0.3546 0.0000
```